{
  "formula": "AcLuPdAu",
  "functional": "PBE-GGA",
  "state": "relaxed",
  "vol_a3_per_cell": 101,
  "crystal_system": "cubic",
  "delta_e_f_ev_per_atom": -0.7387,
  "cell": [[0.0000, 3.6940, 3.6940], [3.6940, 0.0000, 3.6940], [3.6940, 3.6940, 0.0000]],
  "species": ["Ac", "Lu", "Pd", "Au"],
  "fractional_positions": [[0.0000, 0.0000, 0.0000], [0.5000, 0.5000, 0.5000], [0.2500, 0.2500, 0.2500], [0.7500, 0.7500, 0.7500]]
}